Compound: CuOsRh2
Source: Alexandria via LeMat-Bulk
Functional: SCAN
Structure: single point on PBEsol structure

a b c (Å): 4.471 4.471 2.701
angles (deg): 90.00 90.00 90.00
Atoms (fractional coordinates):
Cu 0.000 0.000 0.000
Os 0.500 0.500 0.000
Rh 0.000 0.500 0.500
Rh 0.500 0.000 0.500

Values from the calculation:
ΔE_f: 0.31 eV per atom
SG: P4/mmm (123)
E above lowest polymorph: 284 meV/atom

=====

Compound: ZrMo2As
Source: Alexandria via LeMat-Bulk
Functional: SCAN
Structure: single point on PBEsol structure

a b c (Å): 3.224 4.315 5.039
angles (deg): 90.00 106.85 90.00
Atoms (fractional coordinates):
Zr 0.000 0.000 0.000
Mo 0.273 0.500 0.593
Mo 0.657 0.000 0.478
As 0.567 0.500 0.151

Values from the calculation:
ΔE_f: -0.19 eV per atom
SG: Pm (6)

=====

Compound: ZnSiGe2O
Source: Alexandria via LeMat-Bulk
Functional: SCAN
Structure: single point on PBEsol structure

a b c (Å): 4.717 4.717 4.448
angles (deg): 90.00 90.00 90.00
Atoms (fractional coordinates):
Zn 0.000 0.000 0.000
Si 0.000 0.000 0.500
Ge 0.000 0.500 0.000
Ge 0.500 0.000 0.000
O 0.500 0.500 0.500

Values from the calculation:
Raw formation energy: 1.11 eV per atom
SG: P4/mmm (123)

=====

Compound: Li3VP2O8
Source: Alexandria via LeMat-Bulk
Functional: SCAN
Structure: single point on PBEsol structure

a b c (Å): 4.877 4.877 6.131
angles (deg): 90.61 90.61 66.87
Atoms (fractional coordinates):
Li 0.000 0.000 0.000
Li 0.327 0.327 0.772
Li 0.673 0.673 0.228
V 0.000 0.000 0.500
P 0.350 0.350 0.264
P 0.650 0.650 0.736
O 0.237 0.700 0.271
O 0.242 0.242 0.471
O 0.245 0.245 0.060
O 0.300 0.763 0.729
O 0.700 0.237 0.271
O 0.755 0.755 0.940
O 0.758 0.758 0.529
O 0.763 0.300 0.729

Values from the calculation:
Raw formation energy: -2.61 eV per atom
SG: C2/m (12)
E above lowest polymorph: 0 meV/atom

=====

Compound: RbBeH2
Source: Alexandria via LeMat-Bulk
Functional: SCAN
Structure: single point on PBEsol structure

a b c (Å): 4.433 4.433 4.433
angles (deg): 60.00 60.00 60.00
Atoms (fractional coordinates):
Rb 0.000 0.000 0.000
Be 0.500 0.500 0.500
H 0.250 0.250 0.250
H 0.750 0.750 0.750

Values from the calculation:
SG: Fm-3m (225)

=====

Compound: LiCrCu
Source: Alexandria via LeMat-Bulk
Functional: SCAN
Structure: single point on PBEsol structure

a b c (Å): 4.771 4.771 4.771
angles (deg): 142.85 142.85 53.54
Atoms (fractional coordinates):
Li 0.000 0.000 0.000
Cr 0.314 0.314 0.000
Cu 0.656 0.656 0.000

Values from the calculation:
ΔE_f: 0.27 eV per atom
SG: I4mm (107)
E above lowest polymorph: 0 meV/atom

=====

| no. | calculated volume (A^3/atom) | electronic total energy (eV per atom) |
| --- | --- | --- |
| 1 | 13.5 | -38.343 |
| 2 | 16.8 | -30.355 |
| 3 | 19.8 | -12.479 |
| 4 | 9.6 | -9.419 |
| 5 | 15.4 | -6.999 |
| 6 | 13.1 | -11.720 |